First-principles (meta-GGA SCAN) data for a PBEsol-optimized structure of TmSi2Pt2, as listed in Alexandria via LeMat-Bulk.

Geometry as extended XYZ:
```
5
Lattice="4.0880 0.0000 0.0000 0.0000 4.0880 0.0000 -2.0440 -2.0440 4.9290" Properties=species:S:1:pos:R:3 pbc="T T T"
Si 0.0000 0.0000 3.7911
Si 2.0440 2.0440 1.1379
Pt 2.0440 0.0000 2.4645
Pt 0.0000 2.0440 2.4645
Tm 0.0000 0.0000 0.0000
```

Computed properties:
Total moment, μB/atom: 0.000
Uncorrected energy, eV/atom: -43.595